## A
## Tm4MgIn2 (PBE-GGA)

Data for a relaxed structure of Tm4MgIn2.

```
Tm4MgIn2
1.0
-2.383 2.295 -4.001
-1.057 -2.715 -4.297
-8.531 -2.283 0.404
Tm Mg In
4 1 2
Cartesian
-3.423 -0.608 -5.047 Tm
-5.643 -1.445 -0.836 Tm
-8.547 -2.095 -2.847 Tm
-6.327 -1.258 -7.058 Tm
0.000 0.000 0.000 Mg
-9.089 -2.059 -5.873 In
-2.882 -0.643 -2.021 In
```

Theoretical density: 7.95 g/cm3
Space group: R-3m, No. 166

---

## B
## Tm4MgIn2 (PBE-GGA)

Data for a relaxed structure of Tm4MgIn2.

```
Tm4MgIn2
1.0
-0.741 5.696 -4.774
-3.033 -3.839 -4.110
-6.732 -1.113 6.007
In Tm Mg
4 8 2
Cartesian
-6.342 -0.071 -2.704 In
-4.164 0.815 -0.172 In
-3.199 1.609 -6.592 In
-7.307 -0.864 3.716 In
-7.863 -3.629 1.742 Tm
-5.321 -3.207 -0.529 Tm
-2.643 4.373 -4.618 Tm
-3.407 1.148 -3.487 Tm
-5.186 3.952 -2.348 Tm
-7.099 -0.404 0.611 Tm
-8.592 -2.293 -1.412 Tm
-1.914 3.038 -1.464 Tm
-6.652 2.585 0.010 Mg
-3.854 -1.841 -2.887 Mg
```

Theoretical density: 7.93 g/cm3
Space group: P2_1/m, No. 11

---

Of them, A has the highest stability.

---

## A
## Tm3MgIn2 (PBE-GGA)

Data for a relaxed structure of Tm3MgIn2.

```
Tm3MgIn2
1.0
3.949 0.000 0.000
0.000 4.821 -1.596
0.000 0.007 8.102
Tm In Mg
3 2 1
Cartesian
1.975 4.009 4.030 Tm
1.975 2.411 -0.798 Tm
1.975 0.820 2.475 Tm
0.000 1.649 4.982 In
0.000 3.179 1.524 In
0.000 0.000 0.000 Mg
```

Theoretical density: 8.19 g/cm3
Space group: Cmmm, No. 65

---

## B
## Tm3MgIn2 (PBE-GGA)

Data for a relaxed structure of Tm3MgIn2.

```
Tm3MgIn2
1.0
3.706 0.000 0.000
0.000 3.706 0.000
0.000 0.000 11.222
Tm In Mg
3 2 1
Cartesian
0.000 0.000 7.438 Tm
0.000 0.000 3.784 Tm
0.000 0.000 0.000 Tm
1.853 1.853 1.938 In
1.853 1.853 9.284 In
1.853 1.853 5.611 Mg
```

Theoretical density: 8.20 g/cm3
Space group: P4/mmm, No. 123

---

Of them, A has the highest stability.

---

## A
## Mg3VIn (PBE-GGA)

Data for a relaxed structure of Mg3VIn.

```
Mg3VIn
1.0
-0.477 4.570 -2.621
-4.950 0.511 1.793
1.802 2.614 4.231
Mg In V
3 1 1
Cartesian
0.901 1.307 2.115 Mg
-2.475 0.256 0.896 Mg
-0.239 2.285 -1.310 Mg
-1.813 3.848 1.702 In
0.000 0.000 0.000 V
```

Theoretical density: 2.68 g/cm3
Space group: Pm-3m, No. 221

---

## B
## Mg3VIn (PBE-GGA)

Data for a relaxed structure of Mg3VIn.

```
Mg3VIn
1.0
-4.254 3.097 -0.207
-0.239 0.023 5.260
3.095 4.258 0.122
Mg V In
3 1 1
Cartesian
-0.120 0.011 2.630 Mg
1.547 2.129 0.061 Mg
-2.127 1.549 -0.103 Mg
-0.699 3.689 2.588 V
0.000 0.000 0.000 In
```

Theoretical density: 2.71 g/cm3
Space group: Pm-3m, No. 221

---

Of them, A has the highest stability.

---

## A
## Mg2VIn2 (PBE-GGA)

Data for a relaxed structure of Mg2VIn2.

```
Mg2VIn2
1.0
-3.517 4.810 4.673
-6.695 -2.823 -2.133
0.202 -2.670 2.900
Mg V In
4 2 4
Cartesian
-2.182 -0.190 2.663 Mg
-4.933 -2.418 0.803 Mg
-5.078 1.735 4.637 Mg
-7.828 -0.493 2.777 Mg
-5.106 0.994 1.270 V
0.000 0.000 0.000 V
-3.190 2.683 2.693 In
-7.022 -0.696 -0.153 In
-7.310 2.329 2.652 In
-2.902 -0.342 -0.113 In
```

Theoretical density: 4.83 g/cm3
Space group: P4/mbm, No. 127

---

## B
## Mg2VIn2 (PBE-GGA)

Data for a relaxed structure of Mg2VIn2.

```
Mg2VIn2
1.0
-3.009 -0.353 2.473
-2.336 -0.975 -2.981
-0.983 -7.852 0.774
In V Mg
2 1 2
Cartesian
-2.344 -2.061 -0.054 In
-3.984 -7.120 0.320 In
0.000 0.000 0.000 V
-2.996 -4.746 -1.230 Mg
-3.332 -4.435 1.497 Mg
```

Theoretical density: 4.79 g/cm3
Space group: I4/mmm, No. 139

---

Of them, A has the highest stability.

---

## A
## MgIn3W (PBE-GGA)

Data for a relaxed structure of MgIn3W.

```
MgIn3W
1.0
5.125 0.000 0.000
0.000 5.125 0.000
0.000 0.000 5.125
W In Mg
1 3 1
Cartesian
2.562 2.562 2.562 W
0.000 2.562 0.000 In
0.000 0.000 2.562 In
2.562 0.000 0.000 In
0.000 0.000 0.000 Mg
```

Theoretical density: 6.82 g/cm3
Space group: Pm-3m, No. 221

---

## B
## MgIn3W (PBE-GGA)

Data for a relaxed structure of MgIn3W.

```
MgIn3W
1.0
5.311 0.000 0.000
0.000 5.311 0.000
0.000 0.000 5.311
In W Mg
3 1 1
Cartesian
0.000 0.000 2.656 In
2.656 0.000 0.000 In
0.000 2.656 0.000 In
0.000 0.000 0.000 W
2.656 2.656 2.656 Mg
```

Theoretical density: 6.12 g/cm3
Space group: Pm-3m, No. 221

---

Of them, B has the highest stability.

---

## A
## Mg2InW2 (PBE-GGA)

Data for a relaxed structure of Mg2InW2.

```
Mg2InW2
1.0
-2.199 -1.130 -2.762
0.742 -3.530 0.853
-6.770 -2.427 3.895
W Mg In
2 2 1
Cartesian
-4.849 -2.943 0.090 W
-3.378 -4.143 1.897 W
-1.986 -2.350 0.055 Mg
-6.241 -4.736 1.932 Mg
0.000 0.000 0.000 In
```

Theoretical density: 8.29 g/cm3
Space group: I4/mmm, No. 139

---

## B
## Mg2InW2 (PBE-GGA)

Data for a relaxed structure of Mg2InW2.

```
Mg2InW2
1.0
-1.564 -2.507 7.487
-4.322 -6.115 -2.951
2.361 -1.642 -0.056
W In Mg
4 2 4
Cartesian
-3.414 -7.522 2.696 W
-1.456 -4.790 5.144 W
-2.070 -5.474 -0.664 W
-0.112 -2.742 1.783 W
0.000 0.000 0.000 In
-2.943 -4.311 2.268 In
-1.457 -2.242 4.264 Mg
-4.042 -5.979 4.815 Mg
-1.845 -2.644 -0.279 Mg
-4.430 -6.380 0.272 Mg
```

Theoretical density: 9.46 g/cm3
Space group: P4/mbm, No. 127

---

Of them, A has the highest stability.

---

## A
## Y4MgIn (PBE-GGA)

Data for a relaxed structure of Y4MgIn.

```
Y4MgIn
1.0
-1.698 -2.176 2.242
4.983 -7.018 -3.037
3.934 1.058 4.006
Y Mg In
4 1 1
Cartesian
2.959 -0.869 1.397 Y
2.614 -5.962 -0.987 Y
5.959 -5.091 -0.428 Y
4.606 -2.173 4.198 Y
0.000 0.000 0.000 Mg
3.610 -4.068 1.606 In
```

Theoretical density: 4.43 g/cm3
Space group: Pmmm, No. 47

---

## B
## Y4MgIn (PBE-GGA)

Data for a relaxed structure of Y4MgIn.

```
Y4MgIn
1.0
-3.148 -3.008 4.659
-0.149 2.488 5.870
-5.424 2.456 2.285
In Y Mg
1 4 1
Cartesian
-6.541 1.452 9.611 In
-5.979 1.952 5.949 Y
-4.844 -0.774 7.133 Y
-3.347 1.968 7.738 Y
-3.273 0.726 4.809 Y
0.000 0.000 0.000 Mg
```

Theoretical density: 4.48 g/cm3
Space group: F-43m, No. 216

---

## C
## Y4MgIn (PBE-GGA)

Data for a relaxed structure of Y4MgIn.

```
Y4MgIn
1.0
5.192 0.000 0.000
2.596 4.489 0.258
2.596 1.002 8.666
Mg Y In
1 4 1
Cartesian
0.000 0.000 0.000 Mg
2.596 1.187 5.453 Y
5.192 2.561 7.663 Y
7.787 4.304 3.471 Y
5.192 2.930 1.261 Y
5.192 2.746 4.462 In
```

Theoretical density: 4.09 g/cm3
Space group: R-3m, No. 166

---

Of them, A has the highest stability.

---

## A
## Y6MgIn (PBE-GGA)

Data for a relaxed structure of Y6MgIn.

```
Y6MgIn
1.0
4.904 0.000 0.000
0.000 4.904 0.000
0.000 0.000 9.820
Y Mg In
6 1 1
Cartesian
0.000 2.452 2.424 Y
2.452 2.452 0.000 Y
0.000 2.452 7.397 Y
2.452 0.000 2.424 Y
2.452 2.452 4.910 Y
2.452 0.000 7.397 Y
0.000 0.000 4.910 Mg
0.000 0.000 0.000 In
```

Theoretical density: 4.73 g/cm3
Space group: P4/mmm, No. 123

---

## B
## Y6MgIn (PBE-GGA)

Data for a relaxed structure of Y6MgIn.

```
Y6MgIn
1.0
-4.654 -6.120 4.367
3.994 -5.185 5.946
-0.936 -1.417 5.967
Mg Y In
1 6 1
Cartesian
0.000 0.000 0.000 Mg
-0.318 -10.752 13.797 Y
-0.019 -7.961 11.289 Y
-3.346 -9.606 11.878 Y
1.749 -3.117 4.402 Y
-1.578 -4.762 4.991 Y
-1.278 -1.971 2.483 Y
-0.798 -6.361 8.140 In
```

Theoretical density: 4.68 g/cm3
Space group: R-3, No. 148

---

Of them, A has the highest stability.

---

## A
## Mg5ZnIn2 (PBE-GGA)

Data for a relaxed structure of Mg5ZnIn2.

```
Mg5ZnIn2
1.0
4.757 0.000 0.000
-2.379 4.120 0.000
0.000 0.000 19.286
Mg In Zn
10 4 2
Cartesian
0.000 2.747 14.465 Mg
0.000 0.000 3.213 Mg
0.000 0.000 6.430 Mg
0.000 0.000 16.073 Mg
2.379 1.373 0.966 Mg
0.000 0.000 12.856 Mg
2.379 1.373 8.677 Mg
0.000 2.747 18.320 Mg
0.000 2.747 10.609 Mg
2.379 1.373 4.822 Mg
2.379 1.373 11.674 In
0.000 2.747 7.612 In
0.000 2.747 2.031 In
2.379 1.373 17.255 In
2.379 1.373 14.465 Zn
0.000 2.747 4.822 Zn
```

Theoretical density: 3.66 g/cm3
Space group: P6_3/mmc, No. 194

---

## B
## Mg5ZnIn2 (PBE-GGA)

Data for a relaxed structure of Mg5ZnIn2.

```
Mg5ZnIn2
1.0
4.433 0.000 0.000
0.000 4.433 0.000
-2.216 -2.216 8.940
Zn Mg In
1 5 2
Cartesian
0.000 0.000 0.000 Zn
2.216 0.000 6.809 Mg
0.000 2.216 2.131 Mg
2.216 0.000 2.131 Mg
0.000 2.216 6.809 Mg
2.216 2.216 0.000 Mg
0.000 0.000 4.487 In
2.216 2.216 4.453 In
```

Theoretical density: 3.94 g/cm3
Space group: I4/mmm, No. 139

---

Of them, B has the highest stability.

---

## A
## Mg3ZnIn (PBE-GGA)

Data for a relaxed structure of Mg3ZnIn.

```
Mg3ZnIn
1.0
-1.580 4.427 -1.065
-5.187 -1.133 2.985
4.352 2.066 2.131
In Zn Mg
1 1 3
Cartesian
-1.822 2.979 4.179 In
1.565 1.335 3.226 Zn
-3.147 1.849 1.447 Mg
-3.213 -0.258 3.694 Mg
-0.575 0.318 2.176 Mg
```

Theoretical density: 3.33 g/cm3
Space group: Amm2, No. 38

---

## B
## Mg3ZnIn (PBE-GGA)

Data for a relaxed structure of Mg3ZnIn.

```
Mg3ZnIn
1.0
-1.553 2.432 4.128
-1.801 -4.317 1.866
4.440 -0.901 2.201
Mg In Zn
3 1 1
Cartesian
-0.776 1.216 2.064 Mg
2.220 -0.450 1.100 Mg
-0.900 -2.159 0.933 Mg
0.543 -1.393 4.098 In
0.000 0.000 0.000 Zn
```

Theoretical density: 3.29 g/cm3
Space group: Pm-3m, No. 221

---

Of them, A has the highest stability.